Record 1
Compound: Zn2SnAu2
Source: the Alexandria database
Functional: PBE
Structure: relaxed

Values from the calculation:
theoretical density	11.4	g/cm³
offset from the most stable computed form	10.1	kJ/mol of formula units

```
data_Zn2SnAu2
_chemical_formula_sum 'Zn4 Sn2 Au4'
_symmetry_space_group_name_H-M 'P 4/m b m'
_symmetry_Int_Tables_number 127
_symmetry_space_group_name_Hall '-P 4 2ab'
_cell_length_a 7.841
_cell_length_b 7.841
_cell_length_c 3.036
_cell_angle_alpha 90.00
_cell_angle_beta 90.00
_cell_angle_gamma 90.00
loop_
_atom_site_label
_atom_site_fract_x
_atom_site_fract_y
_atom_site_fract_z
Zn1 0.155 0.345 0.000
Sn1 0.000 0.000 0.500
Au1 0.142 0.642 0.500
```

---

Record 2
Compound: Zn2SnAu
Source: the Alexandria database
Functional: PBE
Structure: relaxed

Values from the calculation:
theoretical density	9.9	g/cm³

```
data_Zn2SnAu
_chemical_formula_sum 'Zn2 Sn1 Au1'
_symmetry_space_group_name_H-M 'P 4/m m m'
_symmetry_Int_Tables_number 123
_symmetry_space_group_name_Hall '-P 4 2'
_cell_length_a 4.253
_cell_length_b 4.253
_cell_length_c 4.156
_cell_angle_alpha 90.00
_cell_angle_beta 90.00
_cell_angle_gamma 90.00
loop_
_atom_site_label
_atom_site_fract_x
_atom_site_fract_y
_atom_site_fract_z
Zn1 0.000 0.500 0.000
Sn1 0.000 0.000 0.500
Au1 0.500 0.500 0.500
```

---

Record 3
Compound: Zn4SnAu2
Source: the Alexandria database
Functional: PBE
Structure: relaxed

Values from the calculation:
theoretical density	9.8	g/cm³

```
data_Zn4SnAu2
_chemical_formula_sum 'Zn8 Sn2 Au4'
_symmetry_space_group_name_H-M 'P 42/m n m'
_symmetry_Int_Tables_number 136
_symmetry_space_group_name_Hall '-P 4n 2n'
_cell_length_a 8.739
_cell_length_b 8.739
_cell_length_c 3.422
_cell_angle_alpha 90.00
_cell_angle_beta 90.00
_cell_angle_gamma 90.00
loop_
_atom_site_label
_atom_site_fract_x
_atom_site_fract_y
_atom_site_fract_z
Zn1 0.067 0.333 0.000
Sn1 0.000 0.000 0.500
Au1 0.206 0.794 0.000
```

---

We obtain ΔH_f (0 K) values of -130; 25; -99 meV per atom for the records listed above, in that order.
We obtain volume values of 18.7; 18.8; 18.7 Å³ per atom for the records listed above, in that order.